(1)
Entry from the Open Quantum Materials Database: a relaxed Tm3ZnIn2Cu3 crystal (PBE).

a b c (Å): 3.813 7.351 7.351
angles (deg): 120.10 90.00 90.00
Positions (direct):
1 Tm 0.000 0.000 0.000
2 Tm 0.000 0.165 0.566
3 Tm 0.000 0.566 0.165
4 Zn 0.500 0.317 0.317
5 In 0.500 0.576 0.827
6 In 0.500 0.827 0.576
7 Cu 0.000 0.554 0.554
8 Cu 0.500 0.241 0.911
9 Cu 0.500 0.911 0.241

E_tot = -34.78 eV/cell

---

(2)
Entry from the Open Quantum Materials Database: a relaxed NdDy2Hg3PdAu2 crystal (PBE).

a b c (Å): 3.805 7.949 7.949
angles (deg): 120.43 90.00 90.00
Positions (direct):
1 Nd 0.000 0.000 0.000
2 Dy 0.000 0.212 0.604
3 Dy 0.000 0.604 0.212
4 Hg 0.500 0.341 0.341
5 Hg 0.500 0.604 0.870
6 Hg 0.500 0.870 0.604
7 Pd 0.000 0.603 0.603
8 Au 0.500 0.277 0.937
9 Au 0.500 0.937 0.277

E_tot = -32.57 eV/cell
calculated formation energy = -0.6674 eV/atom

---

Number 1 is which compound? Tm3ZnIn2Cu3

---

Repeat the first record exactly.
Entry from the Open Quantum Materials Database: a relaxed Tm3ZnIn2Cu3 crystal (PBE).

a b c (Å): 3.813 7.351 7.351
angles (deg): 120.10 90.00 90.00
Positions (direct):
1 Tm 0.000 0.000 0.000
2 Tm 0.000 0.165 0.566
3 Tm 0.000 0.566 0.165
4 Zn 0.500 0.317 0.317
5 In 0.500 0.576 0.827
6 In 0.500 0.827 0.576
7 Cu 0.000 0.554 0.554
8 Cu 0.500 0.241 0.911
9 Cu 0.500 0.911 0.241

E_tot = -34.78 eV/cell